1.
# HfTi3Ir

A relaxed structure of HfTi3Ir (GGA-PBE, Alexandria via LeMat-Bulk).

Cell lengths 4.738, 4.738, 4.738 Å; angles 90.00, 90.00, 90.00 degrees
Atoms (fractional coordinates):
Ti (0.500, 0.000, 0.000)
Ti (0.000, 0.500, 0.000)
Ti (0.000, 0.000, 0.500)
Ir (0.000, 0.000, 0.000)
Hf (0.500, 0.500, 0.500)

symmetry	Pm-3m
raw total energy	-8.1937	eV/atom
magnetic moment	0.00	μB/f.u.
ΔH_f (0 K)	306	meV/atom
ΔE to the lowest computed polymorph	0.525	eV/atom
DOS at the Fermi energy	1.38	states/eV per atom

2.
# HfTi2Ir3

A relaxed structure of HfTi2Ir3 (GGA-PBE, Alexandria via LeMat-Bulk).

Cell lengths 2.996, 2.996, 10.574 Å; angles 90.00, 90.00, 90.00 degrees
Atoms (fractional coordinates):
Ir (0.000, 0.000, 0.313)
Ir (0.000, 0.000, 0.000)
Ir (0.000, 0.000, 0.687)
Hf (0.500, 0.500, 0.500)
Ti (0.500, 0.500, 0.160)
Ti (0.500, 0.500, 0.840)

symmetry	P4/mmm
raw total energy	-9.5795	eV/atom
magnetic moment	0.00	μB/f.u.
ΔH_f (0 K)	-858	meV/atom
DOS at the Fermi energy	0.91	states/eV per atom

3.
# HfTi2Ir

A relaxed structure of HfTi2Ir (GGA-PBE, Alexandria via LeMat-Bulk).

Cell lengths 3.220, 4.519, 5.468 Å; angles 114.37, 107.12, 90.00 degrees
Atoms (fractional coordinates):
Hf (0.000, 0.500, 0.000)
Ti (0.766, 0.766, 0.532)
Ti (0.234, 0.234, 0.468)
Ir (0.500, 0.000, 0.000)

symmetry	Immm
raw total energy	-9.2008	eV/atom
magnetic moment	0.00	μB/f.u.
ΔH_f (0 K)	-550	meV/atom
ΔE to the lowest computed polymorph	0.000	eV/atom
DOS at the Fermi energy	1.19	states/eV per atom